Compound: Na2FePt2O6
Source: Alexandria
Functional: GGA+U
Structure: relaxed Values from VASP.

Results
* space-group type: No. 12
* raw total energy: -61.8 eV for the cell shown
* magnetization: 4.0 μB per formula unit

Quantum ESPRESSO input file:
```
&SYSTEM
  ibrav = 0, nat = 11, ntyp = 4
/
ATOMIC_SPECIES
Fe 55.84 Fe.upf
O 16.00 O.upf
Na 22.99 Na.upf
Pt 195.08 Pt.upf
ATOMIC_POSITIONS angstrom
Fe 2.7728 -0.5678 0.3939
O 0.5678 -2.1322 -3.6896
O 3.7781 -0.6248 -1.5631
O -0.2208 -4.1600 -1.0619
O 2.9896 -2.6527 1.0647
O 2.3844 -3.4345 -1.9349
O 1.1729 -1.3503 -0.6901
Na -0.2482 0.0938 -4.1923
Na -1.7401 -3.7430 0.7796
Pt 1.4131 -3.3326 -0.0942
Pt 2.1443 -1.4523 -2.5308
CELL_PARAMETERS angstrom
-2.1023 -4.6744 1.9865
0.1140 1.0252 -5.3992
5.5456 -1.1356 0.7878
```